# PmCuTe, relaxed, DFT GGA-PBE
data_PmCuTe
_symmetry_space_group_name_H-M 'F -4 3 m'
_symmetry_Int_Tables_number 216
_symmetry_space_group_name_Hall 'F -4 2 3'
_cell_length_a 6.680
_cell_length_b 6.680
_cell_length_c 6.680
_cell_angle_alpha 90.00
_cell_angle_beta 90.00
_cell_angle_gamma 90.00
loop_
_atom_site_label
_atom_site_fract_x
_atom_site_fract_y
_atom_site_fract_z
Pm1 0.000 0.000 0.000
Cu1 0.250 0.250 0.250
Te1 0.000 0.000 0.500
# DFT total energy = -52.474 eV per cell



# PmThCu, relaxed, DFT GGA-PBE
data_PmThCu
_symmetry_space_group_name_H-M 'F -4 3 m'
_symmetry_Int_Tables_number 216
_symmetry_space_group_name_Hall 'F -4 2 3'
_cell_length_a 6.932
_cell_length_b 6.932
_cell_length_c 6.932
_cell_angle_alpha 90.00
_cell_angle_beta 90.00
_cell_angle_gamma 90.00
loop_
_atom_site_label
_atom_site_fract_x
_atom_site_fract_y
_atom_site_fract_z
Pm1 0.000 0.000 0.000
Th1 0.000 0.000 0.500
Cu1 0.250 0.250 0.250
# Energy of formation = 205 meV/atom



# PmCuW, relaxed, DFT GGA-PBE
data_PmCuW
_symmetry_space_group_name_H-M 'F -4 3 m'
_symmetry_Int_Tables_number 216
_symmetry_space_group_name_Hall 'F -4 2 3'
_cell_length_a 6.545
_cell_length_b 6.545
_cell_length_c 6.545
_cell_angle_alpha 90.00
_cell_angle_beta 90.00
_cell_angle_gamma 90.00
loop_
_atom_site_label
_atom_site_fract_x
_atom_site_fract_y
_atom_site_fract_z
Pm1 0.000 0.000 0.000
Cu1 0.250 0.250 0.750
W1 0.250 0.250 0.250
# Energy of formation = 1695 meV/atom



# PmZn2Cu, relaxed, DFT GGA-PBE
data_PmZn2Cu
_symmetry_space_group_name_H-M 'C m c m'
_symmetry_Int_Tables_number 63
_symmetry_space_group_name_Hall '-C 2c 2'
_cell_length_a 4.299
_cell_length_b 9.693
_cell_length_c 7.036
_cell_angle_alpha 90.00
_cell_angle_beta 90.00
_cell_angle_gamma 90.00
loop_
_atom_site_label
_atom_site_fract_x
_atom_site_fract_y
_atom_site_fract_z
Pm1 0.000 0.076 0.250
Zn1 0.000 0.362 0.059
Cu1 0.000 0.216 0.750
# Energy of formation = -308 meV/atom